Here is AgHgSCl2 after structural relaxation from the Alexandria database. Energies are from GGA-PBEsol.

Lattice parameters (Å, degrees): 4.7565 4.7565 5.0255 90.00 90.00 90.00
With the nearest neighbours (Å) after each atom.
Space group P4/mmm (No. 123)
Symmetry-distinct sites (fractional):
Ag 0.0000 0.0000 0.0000 x1  4 Cl 2.38, 2 S 2.51
Hg 0.5000 0.5000 0.5000 x1  4 S 3.36, 8 Cl 3.46
S 0.0000 0.0000 0.5000 x1  2 Ag 2.51
Cl 0.0000 0.5000 0.0000 x2  2 Ag 2.38

Uncorrected energy (eV/atom): -2.317
Calculated density (g/cm³): 6.01
E_form (uncorrected) (eV per atom): 0.14